# InPbIN2

Crystalline InPbIN2 at its relaxed geometry (PBE, the Alexandria database).

Cell lengths 4.6132, 4.6132, 6.7494 Å; angles 90.00, 90.00, 90.00 degrees
Space group P4/mmm (No. 123)
Symmetry-distinct sites (fractional):
In  0.0000  0.0000  0.0000
Pb  0.5000  0.5000  0.5000
I  0.5000  0.5000  0.0000
N  0.0000  0.5000  0.5000



# InPbIN2

Crystalline InPbIN2 at its relaxed geometry (PBE, the Alexandria database).

Cell lengths 4.4719, 4.4719, 6.0002 Å; angles 90.00, 90.00, 90.00 degrees
Space group P4/mmm (No. 123)
Symmetry-distinct sites (fractional):
In  0.0000  0.0000  0.0000
Pb  0.5000  0.5000  0.5000
I  0.0000  0.0000  0.5000
N  0.0000  0.5000  0.0000



Respective uncorrected energy values: -3.5710; -3.6688 eV per atom.
Respective DOS(E_F) values: 2.7; 3.2 states/eV/cell.
Respective total magnetic moment values: 2.44; 2.02 Bohr magnetons per cell.